1.
# Sc7Tl3In PBE-GGA relaxed
data_Sc7Tl3In
_cell_length_a 5.501
_cell_length_b 7.645
_cell_length_c 7.645
_cell_angle_alpha 90.29
_cell_angle_beta 110.97
_cell_angle_gamma 110.97
_symmetry_space_group_name_H-M 'P 1'
_symmetry_Int_Tables_number 1
loop_
_symmetry_equiv_pos_as_xyz
'x,y,z'
loop_
_atom_site_label
_atom_site_fract_x
_atom_site_fract_y
_atom_site_fract_z
Tl1 0.000 0.229 0.771
Tl2 0.500 0.000 0.000
Tl3 0.000 0.771 0.229
Sc1 0.322 0.047 0.598
Sc2 0.678 0.402 0.953
Sc3 0.000 0.500 0.500
Sc4 0.186 0.186 0.186
Sc5 0.678 0.953 0.402
Sc6 0.322 0.598 0.047
Sc7 0.814 0.814 0.814
In1 0.500 0.500 0.500
# VASP energy: -4.96 eV per atom
# Space-group type: C2/m


2.
# Sc5Tl4In PBE-GGA relaxed
data_Sc5Tl4In
_cell_length_a 3.573
_cell_length_b 3.573
_cell_length_c 18.232
_cell_angle_alpha 90.00
_cell_angle_beta 90.00
_cell_angle_gamma 90.00
_symmetry_space_group_name_H-M 'P 1'
_symmetry_Int_Tables_number 1
loop_
_symmetry_equiv_pos_as_xyz
'x,y,z'
loop_
_atom_site_label
_atom_site_fract_x
_atom_site_fract_y
_atom_site_fract_z
Tl1 0.000 0.000 0.198
Tl2 0.000 0.000 0.399
Tl3 0.000 0.000 0.802
Tl4 0.000 0.000 0.601
In1 0.000 0.000 0.000
Sc1 0.500 0.500 0.098
Sc2 0.500 0.500 0.500
Sc3 0.500 0.500 0.702
Sc4 0.500 0.500 0.902
Sc5 0.500 0.500 0.298
# VASP energy: -4.67 eV per atom
# Space-group type: P4/mmm


3.
# Sc2TlIn PBE-GGA relaxed
data_Sc2TlIn
_cell_length_a 5.188
_cell_length_b 5.188
_cell_length_c 5.188
_cell_angle_alpha 60.00
_cell_angle_beta 60.00
_cell_angle_gamma 60.00
_symmetry_space_group_name_H-M 'P 1'
_symmetry_Int_Tables_number 1
loop_
_symmetry_equiv_pos_as_xyz
'x,y,z'
loop_
_atom_site_label
_atom_site_fract_x
_atom_site_fract_y
_atom_site_fract_z
Tl1 0.750 0.750 0.750
Sc1 0.000 0.000 0.000
Sc2 0.250 0.250 0.250
In1 0.500 0.500 0.500
# VASP energy: -4.33 eV per atom
# Space-group type: F-43m


4.
# ScTlIn PBE-GGA relaxed
data_ScTlIn
_cell_length_a 3.418
_cell_length_b 3.418
_cell_length_c 7.595
_cell_angle_alpha 90.00
_cell_angle_beta 90.00
_cell_angle_gamma 120.00
_symmetry_space_group_name_H-M 'P 1'
_symmetry_Int_Tables_number 1
loop_
_symmetry_equiv_pos_as_xyz
'x,y,z'
loop_
_atom_site_label
_atom_site_fract_x
_atom_site_fract_y
_atom_site_fract_z
Tl1 0.333 0.667 0.661
In1 0.000 0.000 0.009
Sc1 0.667 0.333 0.330
# VASP energy: -3.85 eV per atom
# Space-group type: P3m1


5.
# ScTlIn PBE-GGA relaxed
data_ScTlIn
_cell_length_a 6.654
_cell_length_b 6.654
_cell_length_c 6.654
_cell_angle_alpha 149.81
_cell_angle_beta 149.81
_cell_angle_gamma 43.21
_symmetry_space_group_name_H-M 'P 1'
_symmetry_Int_Tables_number 1
loop_
_symmetry_equiv_pos_as_xyz
'x,y,z'
loop_
_atom_site_label
_atom_site_fract_x
_atom_site_fract_y
_atom_site_fract_z
In1 0.992 0.992 0.000
Sc1 0.338 0.338 0.000
Tl1 0.670 0.670 0.000
# VASP energy: -3.92 eV per atom
# Space-group type: I4mm


6.
# Sc5Tl2In PBE-GGA relaxed
data_Sc5Tl2In
_cell_length_a 4.851
_cell_length_b 6.332
_cell_length_c 12.336
_cell_angle_alpha 90.00
_cell_angle_beta 90.00
_cell_angle_gamma 90.00
_symmetry_space_group_name_H-M 'P 1'
_symmetry_Int_Tables_number 1
loop_
_symmetry_equiv_pos_as_xyz
'x,y,z'
loop_
_atom_site_label
_atom_site_fract_x
_atom_site_fract_y
_atom_site_fract_z
In1 0.000 0.000 0.500
In2 0.000 0.500 0.000
Sc1 0.000 0.641 0.231
Sc2 0.000 0.000 0.000
Sc3 0.500 0.657 0.891
Sc4 0.500 0.343 0.109
Sc5 0.000 0.859 0.731
Sc6 0.500 0.843 0.391
Sc7 0.500 0.157 0.609
Sc8 0.000 0.359 0.769
Sc9 0.000 0.141 0.269
Sc10 0.000 0.500 0.500
Tl1 0.500 0.879 0.147
Tl2 0.500 0.379 0.353
Tl3 0.500 0.621 0.647
Tl4 0.500 0.121 0.853
# VASP energy: -5.17 eV per atom
# Space-group type: Pbam


What is the VASP energy in the first record? -4.96 eV per atom


What is the formula in the first record? Sc7Tl3In


What is the VASP energy in the fifth record? -3.92 eV per atom


Which of these has the lowest VASP energy? Sc5Tl2In